(A)
Crystalline ZrNbAs2Se at its relaxed geometry, computed with PBE.

Properties
DOS(E_F), states/eV/cell: 4.4
Volume, Å³/f.u.: 134.0

Unit cell a=5.124 b=5.124 c=5.104 alpha=90.00 beta=90.00 gamma=90.00
Space group P4/mmm (No. 123)
Asymmetric unit:
Zr (0.000, 0.000, 0.000) (multiplicity 1)
Nb (0.500, 0.500, 0.500) (multiplicity 1)
As (0.000, 0.500, 0.000) (multiplicity 2)
Se (0.000, 0.000, 0.500) (multiplicity 1)

(B)
Crystalline ZrNbAs2Se at its relaxed geometry, computed with PBE.

Properties
DOS(E_F), states/eV/cell: 4.4
Volume, Å³/f.u.: 122.3

Unit cell a=4.957 b=4.957 c=4.979 alpha=90.00 beta=90.00 gamma=90.00
Space group P4/mmm (No. 123)
Asymmetric unit:
Zr (0.000, 0.000, 0.000) (multiplicity 1)
Nb (0.500, 0.500, 0.500) (multiplicity 1)
As (0.000, 0.500, 0.500) (multiplicity 2)
Se (0.500, 0.500, 0.000) (multiplicity 1)

Least stable structure: (A)

(A)
Crystalline NbSiAs3 at its relaxed geometry, computed with PBE.

Properties
DOS(E_F), states/eV/cell: 7.6
Volume, Å³/f.u.: 102.3

Unit cell a=4.677 b=4.677 c=4.677 alpha=90.00 beta=90.00 gamma=90.00
Space group Pm-3m (No. 221)
Asymmetric unit:
Nb (0.000, 0.000, 0.000) (multiplicity 1)
Si (0.500, 0.500, 0.500) (multiplicity 1)
As (0.000, 0.500, 0.500) (multiplicity 3)

(B)
Crystalline NbSiAs3 at its relaxed geometry, computed with PBE.

Properties
DOS(E_F), states/eV/cell: 4.0
Volume, Å³/f.u.: 124.5

Unit cell a=4.994 b=4.994 c=4.994 alpha=90.00 beta=90.00 gamma=90.00
Space group Pm-3m (No. 221)
Asymmetric unit:
Nb (0.000, 0.000, 0.000) (multiplicity 1)
Si (0.500, 0.500, 0.500) (multiplicity 1)
As (0.000, 0.000, 0.500) (multiplicity 3)

Least stable structure: (A)

(A)
Crystalline SrNbAs2 at its relaxed geometry, computed with PBE.

Properties
DOS(E_F), states/eV/cell: 8.6
Volume, Å³/f.u.: 92.7

Unit cell a=3.8647 b=3.8647 c=21.4916 alpha=90.00 beta=90.00 gamma=120.00
Space group R-3m (No. 166, hexagonal axes)
Asymmetric unit:
Sr (0.0000, 0.0000, 0.0000) (multiplicity 3)
Nb (0.0000, 0.0000, 0.5000) (multiplicity 3)
As (0.0000, 0.0000, 0.2362) (multiplicity 6)

(B)
Crystalline SrNbAs2 at its relaxed geometry, computed with PBE.

Properties
DOS(E_F), states/eV/cell: 10.0
Volume, Å³/f.u.: 86.0

Unit cell a=7.005 b=7.005 c=7.005 alpha=90.00 beta=90.00 gamma=90.00
Space group Fm-3m (No. 225)
Asymmetric unit:
Sr (0.000, 0.000, 0.000) (multiplicity 4)
Nb (0.000, 0.000, 0.500) (multiplicity 4)
As (0.250, 0.250, 0.250) (multiplicity 8)

(C)
Crystalline SrNbAs2 at its relaxed geometry, computed with PBE.

Properties
DOS(E_F), states/eV/cell: 3.2
Volume, Å³/f.u.: 110.7

Unit cell a=7.396 b=7.396 c=8.092 alpha=90.00 beta=90.00 gamma=90.00
Space group I-42d (No. 122)
Asymmetric unit:
Sr (0.000, 0.000, 0.000) (multiplicity 4)
Nb (0.000, 0.000, 0.500) (multiplicity 4)
As (0.189, 0.250, 0.625) (multiplicity 8)

Least stable structure: (B)

(A)
Crystalline SrNb2As2 at its relaxed geometry, computed with PBE.

Properties
DOS(E_F), states/eV/cell: 3.3
Volume, Å³/f.u.: 112.1

Unit cell a=5.021 b=5.021 c=8.893 alpha=90.00 beta=90.00 gamma=90.00
Space group I4/mmm (No. 139)
Asymmetric unit:
Sr (0.000, 0.000, 0.000) (multiplicity 2)
Nb (0.000, 0.000, 0.363) (multiplicity 4)
As (0.000, 0.500, 0.250) (multiplicity 4)

(B)
Crystalline SrNb2As2 at its relaxed geometry, computed with PBE.

Properties
DOS(E_F), states/eV/cell: 4.0
Volume, Å³/f.u.: 111.8

Unit cell a=4.056 b=4.056 c=13.592 alpha=90.00 beta=90.00 gamma=90.00
Space group I4/mmm (No. 139)
Asymmetric unit:
Sr (0.000, 0.000, 0.000) (multiplicity 2)
Nb (0.000, 0.500, 0.250) (multiplicity 4)
As (0.000, 0.000, 0.379) (multiplicity 4)

Least stable structure: (A)

(A)
Crystalline SrNbAs3 at its relaxed geometry, computed with PBE.

Properties
DOS(E_F), states/eV/cell: 11.1
Volume, Å³/f.u.: 148.2

Unit cell a=5.292 b=5.292 c=5.292 alpha=90.00 beta=90.00 gamma=90.00
Space group Pm-3m (No. 221)
Asymmetric unit:
Sr (0.000, 0.000, 0.000) (multiplicity 1)
Nb (0.500, 0.500, 0.500) (multiplicity 1)
As (0.000, 0.000, 0.500) (multiplicity 3)

(B)
Crystalline SrNbAs3 at its relaxed geometry, computed with PBE.

Properties
DOS(E_F), states/eV/cell: 5.2
Volume, Å³/f.u.: 130.3

Unit cell a=5.069 b=5.069 c=5.069 alpha=90.00 beta=90.00 gamma=90.00
Space group Pm-3m (No. 221)
Asymmetric unit:
Sr (0.000, 0.000, 0.000) (multiplicity 1)
Nb (0.500, 0.500, 0.500) (multiplicity 1)
As (0.000, 0.500, 0.500) (multiplicity 3)

Least stable structure: (A)

(A)
Crystalline Sr3NbAs at its relaxed geometry, computed with PBE.

Properties
DOS(E_F), states/eV/cell: 1.8
Volume, Å³/f.u.: 210.2

Unit cell a=5.946 b=5.946 c=5.946 alpha=90.00 beta=90.00 gamma=90.00
Space group Pm-3m (No. 221)
Asymmetric unit:
Sr (0.000, 0.000, 0.500) (multiplicity 3)
Nb (0.500, 0.500, 0.500) (multiplicity 1)
As (0.000, 0.000, 0.000) (multiplicity 1)

(B)
Crystalline Sr3NbAs at its relaxed geometry, computed with PBE.

Properties
DOS(E_F), states/eV/cell: 6.2
Volume, Å³/f.u.: 182.4

Unit cell a=5.671 b=5.671 c=5.671 alpha=90.00 beta=90.00 gamma=90.00
Space group Pm-3m (No. 221)
Asymmetric unit:
Sr (0.000, 0.000, 0.500) (multiplicity 3)
Nb (0.000, 0.000, 0.000) (multiplicity 1)
As (0.500, 0.500, 0.500) (multiplicity 1)

Least stable structure: (B)

(A)
Crystalline Ta3NbAs at its relaxed geometry, computed with PBE.

Properties
DOS(E_F), states/eV/cell: 7.1
Volume, Å³/f.u.: 104.2

Unit cell a=4.705 b=4.705 c=4.705 alpha=90.00 beta=90.00 gamma=90.00
Space group Pm-3m (No. 221)
Asymmetric unit:
Ta (0.000, 0.000, 0.500) (multiplicity 3)
Nb (0.500, 0.500, 0.500) (multiplicity 1)
As (0.000, 0.000, 0.000) (multiplicity 1)

(B)
Crystalline Ta3NbAs at its relaxed geometry, computed with PBE.

Properties
DOS(E_F), states/eV/cell: 5.9
Volume, Å³/f.u.: 116.5

Unit cell a=4.883 b=4.883 c=4.883 alpha=90.00 beta=90.00 gamma=90.00
Space group Pm-3m (No. 221)
Asymmetric unit:
Ta (0.000, 0.000, 0.500) (multiplicity 3)
Nb (0.000, 0.000, 0.000) (multiplicity 1)
As (0.500, 0.500, 0.500) (multiplicity 1)

Least stable structure: (B)

(A)
Crystalline TaNbAs2 at its relaxed geometry, computed with PBE.

Properties
DOS(E_F), states/eV/cell: 6.3
Volume, Å³/f.u.: 66.8

Unit cell a=6.441 b=6.441 c=6.441 alpha=90.00 beta=90.00 gamma=90.00
Space group Fm-3m (No. 225)
Asymmetric unit:
Ta (0.000, 0.000, 0.000) (multiplicity 4)
Nb (0.000, 0.000, 0.500) (multiplicity 4)
As (0.250, 0.250, 0.250) (multiplicity 8)

(B)
Crystalline TaNbAs2 at its relaxed geometry, computed with PBE.

Properties
DOS(E_F), states/eV/cell: 17.7
Volume, Å³/f.u.: 98.4

Unit cell a=5.824 b=5.824 c=11.604 alpha=90.00 beta=90.00 gamma=90.00
Space group I-42d (No. 122)
Asymmetric unit:
Ta (0.000, 0.000, 0.000) (multiplicity 4)
Nb (0.000, 0.000, 0.500) (multiplicity 4)
As (0.246, 0.250, 0.125) (multiplicity 8)

(C)
Crystalline TaNbAs2 at its relaxed geometry, computed with PBE.

Properties
DOS(E_F), states/eV/cell: 8.9
Volume, Å³/f.u.: 73.5

Unit cell a=3.6704 b=3.6704 c=18.8938 alpha=90.00 beta=90.00 gamma=120.00
Space group R-3m (No. 166, hexagonal axes)
Asymmetric unit:
Ta (0.0000, 0.0000, 0.0000) (multiplicity 3)
Nb (0.0000, 0.0000, 0.5000) (multiplicity 3)
As (0.0000, 0.0000, 0.2509) (multiplicity 6)

Least stable structure: (B)

(A)
Crystalline TaNb3As at its relaxed geometry, computed with PBE.

Properties
DOS(E_F), states/eV/cell: 7.0
Volume, Å³/f.u.: 104.8

Unit cell a=4.714 b=4.714 c=4.714 alpha=90.00 beta=90.00 gamma=90.00
Space group Pm-3m (No. 221)
Asymmetric unit:
Ta (0.000, 0.000, 0.000) (multiplicity 1)
Nb (0.000, 0.500, 0.500) (multiplicity 3)
As (0.500, 0.500, 0.500) (multiplicity 1)

(B)
Crystalline TaNb3As at its relaxed geometry, computed with PBE.

Properties
DOS(E_F), states/eV/cell: 19.2
Volume, Å³/f.u.: 97.5

Unit cell a=9.856 b=4.795 c=8.745 alpha=90.00 beta=109.35 gamma=90.00
Space group C2/m (No. 12)
Asymmetric unit:
Ta (0.129, 0.000, 0.461) (multiplicity 4)
Nb (0.107, 0.000, 0.825) (multiplicity 4)
Nb (0.127, 0.500, 0.641) (multiplicity 4)
Nb (0.131, 0.500, 0.263) (multiplicity 4)
As (0.135, 0.500, 0.951) (multiplicity 4)

Least stable structure: (A)

(A)
Crystalline TbNbAs2 at its relaxed geometry, computed with PBE.

Properties
DOS(E_F), states/eV/cell: 5.5
Volume, Å³/f.u.: 84.5

Unit cell a=3.8885 b=3.8885 c=19.3640 alpha=90.00 beta=90.00 gamma=120.00
Space group R-3m (No. 166, hexagonal axes)
Asymmetric unit:
Tb (0.0000, 0.0000, 0.0000) (multiplicity 3)
Nb (0.0000, 0.0000, 0.5000) (multiplicity 3)
As (0.0000, 0.0000, 0.2421) (multiplicity 6)

(B)
Crystalline TbNbAs2 at its relaxed geometry, computed with PBE.

Properties
DOS(E_F), states/eV/cell: 0.9
Volume, Å³/f.u.: 84.8

Unit cell a=3.8013 b=3.8013 c=20.3363 alpha=90.00 beta=90.00 gamma=120.00
Space group R3m (No. 160, hexagonal axes)
Asymmetric unit:
Tb (0.0000, 0.0000, 0.0000) (multiplicity 3)
Nb (0.0000, 0.0000, 0.8254) (multiplicity 3)
As (0.0000, 0.0000, 0.4201) (multiplicity 3)
As (0.0000, 0.0000, 0.5704) (multiplicity 3)

Least stable structure: (A)

(A)
Crystalline NbTc2As2 at its relaxed geometry, computed with PBE.

Properties
DOS(E_F), states/eV/cell: 8.2
Volume, Å³/f.u.: 85.0

Unit cell a=4.253 b=4.253 c=9.398 alpha=90.00 beta=90.00 gamma=90.00
Space group I4/mmm (No. 139)
Asymmetric unit:
Nb (0.000, 0.000, 0.000) (multiplicity 2)
Tc (0.000, 0.500, 0.250) (multiplicity 4)
As (0.000, 0.000, 0.373) (multiplicity 4)

(B)
Crystalline NbTc2As2 at its relaxed geometry, computed with PBE.

Properties
DOS(E_F), states/eV/cell: 9.6
Volume, Å³/f.u.: 77.8

Unit cell a=7.205 b=7.205 c=2.997 alpha=90.00 beta=90.00 gamma=90.00
Space group P4/mbm (No. 127)
Asymmetric unit:
Nb (0.000, 0.000, 0.000) (multiplicity 2)
Tc (0.143, 0.357, 0.500) (multiplicity 4)
As (0.155, 0.655, 0.000) (multiplicity 4)

Least stable structure: (A)

(A)
Crystalline Nb3TcAs at its relaxed geometry, computed with PBE.

Properties
DOS(E_F), states/eV/cell: 5.8
Volume, Å³/f.u.: 102.6

Unit cell a=4.682 b=4.682 c=4.682 alpha=90.00 beta=90.00 gamma=90.00
Space group Pm-3m (No. 221)
Asymmetric unit:
Nb (0.000, 0.000, 0.500) (multiplicity 3)
Tc (0.500, 0.500, 0.500) (multiplicity 1)
As (0.000, 0.000, 0.000) (multiplicity 1)

(B)
Crystalline Nb3TcAs at its relaxed geometry, computed with PBE.

Properties
DOS(E_F), states/eV/cell: 4.7
Volume, Å³/f.u.: 111.4

Unit cell a=4.812 b=4.812 c=4.812 alpha=90.00 beta=90.00 gamma=90.00
Space group Pm-3m (No. 221)
Asymmetric unit:
Nb (0.000, 0.000, 0.500) (multiplicity 3)
Tc (0.000, 0.000, 0.000) (multiplicity 1)
As (0.500, 0.500, 0.500) (multiplicity 1)

Least stable structure: (B)